1.
Density functional theory data (PBE) for a geometry-optimized Np2SbRh3 structure.

Cell and atoms, written as POSCAR:
```
Np2SbRh3
1.0
4.754 -0.001 2.219
1.413 4.539 2.219
-0.001 -0.001 5.246
Rh Sb Np
3 1 2
Direct
0.000 0.000 0.500 Rh
0.000 0.500 0.000 Rh
0.500 0.000 0.000 Rh
0.000 0.000 0.000 Sb
0.386 0.386 0.386 Np
0.614 0.614 0.614 Np
```

Properties
Formation energy without anion corrections   -2.61 eV/f.u.
Space group   R-3m (166)
E_tot   -54.66 eV per formula unit
Size of the total moment   7.674 μB per cell



2.
Density functional theory data (PBE) for a geometry-optimized Mg4Si3 structure.

Cell and atoms, written as POSCAR:
```
Mg4Si3
1.0
5.734 -0.202 0.408
-1.765 7.669 0.114
-0.896 -2.725 6.271
Si Mg
6 8
Direct
0.132 0.270 0.426 Si
0.079 0.194 0.042 Si
0.724 0.990 0.788 Si
0.337 0.826 0.242 Si
0.436 0.774 0.893 Si
0.098 0.593 0.615 Si
0.947 0.789 0.962 Mg
0.585 0.567 0.532 Mg
0.300 0.059 0.670 Mg
0.535 0.164 0.191 Mg
0.967 0.530 0.221 Mg
0.810 0.924 0.392 Mg
0.837 0.329 0.748 Mg
0.461 0.492 0.029 Mg
```

Properties
Formation energy without anion corrections   0.51 eV/f.u.
Space group   P1 (1)
E_tot   -22.14 eV per formula unit
Size of the total moment   0.000 μB per cell



3.
Density functional theory data (PBE) for a geometry-optimized CoReOs2 structure.

Cell and atoms, written as POSCAR:
```
CoReOs2
1.0
2.668 0.007 0.000
-1.193 2.386 0.000
0.000 0.000 8.906
Os Re Co
2 1 1
Direct
0.000 0.000 0.508 Os
0.000 0.000 0.992 Os
0.500 0.500 0.250 Re
0.500 0.500 0.750 Co
```

Properties
Energy of formation   503 meV per atom
Space group   Cmmm (65)
E_tot   -40.00 eV per formula unit
Size of the total moment   2.166 μB per cell



4.
Density functional theory data (PBE) for a geometry-optimized CsCaLaRu2 structure.

Cell and atoms, written as POSCAR:
```
CsCaLaRu2
1.0
-2.127 3.783 2.680
-3.944 -3.540 1.866
2.944 -1.175 3.996
Ru Cs Ca La
2 1 1 1
Direct
0.000 0.000 0.500 Ru
0.500 0.000 0.000 Ru
0.000 0.000 0.000 Cs
0.500 0.500 0.500 Ca
0.000 0.500 0.000 La
```

Properties
Energy of formation   1660 meV per atom
Space group   P4/mmm (123)
E_tot   -18.04 eV per formula unit
Size of the total moment   0.000 μB per cell



5.
Density functional theory data (PBE) for a geometry-optimized Tl2InMo structure.

Cell and atoms, written as POSCAR:
```
Tl2InMo
1.0
-6.641 -2.375 5.509
1.668 -8.625 -1.708
-0.668 -5.576 4.060
Tl In Mo
4 2 2
Direct
0.875 0.788 0.750 Tl
0.538 0.125 0.250 Tl
0.375 0.462 0.750 Tl
0.212 0.625 0.250 Tl
0.750 0.250 0.500 In
0.000 0.000 0.000 In
0.250 0.750 0.500 Mo
0.500 0.500 0.000 Mo
```

Properties
Energy of formation   807 meV per atom
Space group   I-42d (122)
E_tot   -15.07 eV per formula unit
Size of the total moment   2.083 μB per cell



6.
Density functional theory data (PBE) for a geometry-optimized AcLa8Y3 structure.

Cell and atoms, written as POSCAR:
```
AcLa8Y3
1.0
-5.309 4.956 -5.069
0.872 -8.588 1.982
-2.780 2.365 8.082
La Y Ac
8 3 1
Direct
0.169 0.255 0.423 La
0.169 0.746 0.913 La
0.498 0.330 0.168 La
0.833 0.256 0.087 La
0.174 0.838 0.337 La
0.501 0.837 0.663 La
0.161 0.330 0.832 La
0.833 0.747 0.577 La
0.500 0.752 0.252 Y
0.830 0.330 0.500 Y
0.500 0.247 0.748 Y
0.831 0.831 0.000 Ac
```

Properties
Energy of formation   37 meV per atom
Space group   C2 (5)
E_tot   -62.47 eV per formula unit
Size of the total moment   0.000 μB per cell